(1)
Entry from the Alexandria database: a geometry-optimized CoOsSI2 structure (GGA-PBE).

Output
- Total magnetic moment: 0.00 μB/f.u.
- DOS(E_F): 1.02 states/eV/atom
- Formation energy from raw total energies: 1.5521 eV/atom

abc: 5.0734 5.0734 4.5406
angles: 90.00 90.00 90.00
Last column: nearest neighbours and their distance in Å.
Space group P4/mmm (No. 123)
One atom of each set of equivalent atoms:
1 Co 0.0000 0.0000 0.0000 (multiplicity 1)  2 Os 2.27, 4 I 2.54
2 Os 0.0000 0.0000 0.5000 (multiplicity 1)  2 Co 2.27
3 S 0.5000 0.5000 0.5000 (multiplicity 1)  8 I 3.40, 4 Os 3.59
4 I 0.0000 0.5000 0.0000 (multiplicity 2)  2 Co 2.54

---

(2)
Entry from the Alexandria database: a geometry-optimized CoSb2OsI structure (GGA-PBE).

Output
- Energy above the lowest structure with this stoichiometry: 0.1158 eV/atom
- Total magnetic moment: 0.00 μB/f.u.
- DOS(E_F): 0.76 states/eV/atom
- Formation energy from raw total energies: 1.2729 eV/atom

abc: 4.7548 4.7548 5.0476
angles: 90.00 90.00 90.00
Last column: nearest neighbours and their distance in Å.
Space group P4/mmm (No. 123)
One atom of each set of equivalent atoms:
1 Co 0.0000 0.0000 0.0000 (multiplicity 1)  4 Sb 2.38, 2 I 2.52
2 Sb 0.0000 0.5000 0.0000 (multiplicity 2)  2 Co 2.38
3 Os 0.5000 0.5000 0.5000 (multiplicity 1)  4 I 3.36, 8 Sb 3.47
4 I 0.0000 0.0000 0.5000 (multiplicity 1)  2 Co 2.52

---

(3)
Entry from the Alexandria database: a geometry-optimized CoSb2OsI structure (GGA-PBE).

Output
- Energy above the lowest structure with this stoichiometry: 0.0000 eV/atom
- Total magnetic moment: 2.03 μB/f.u.
- DOS(E_F): 0.67 states/eV/atom
- Formation energy from raw total energies: 1.1572 eV/atom

abc: 5.0301 5.0301 5.7879
angles: 90.00 90.00 90.00
Last column: nearest neighbours and their distance in Å.
Space group P4/mmm (No. 123)
One atom of each set of equivalent atoms:
1 Co 0.0000 0.0000 0.0000 (multiplicity 1)  4 I 3.56, 8 Sb 3.83
2 Sb 0.0000 0.5000 0.5000 (multiplicity 2)  2 Os 2.52
3 Os 0.5000 0.5000 0.5000 (multiplicity 1)  4 Sb 2.52
4 I 0.5000 0.5000 0.0000 (multiplicity 1)  2 Os 2.89

---

(4)
Entry from the Alexandria database: a geometry-optimized CoSbOsI2 structure (GGA-PBE).

Output
- Energy above the lowest structure with this stoichiometry: 0.0000 eV/atom
- Total magnetic moment: 2.42 μB/f.u.
- DOS(E_F): 1.62 states/eV/atom
- Formation energy from raw total energies: 1.2753 eV/atom

abc: 5.5530 5.5530 4.9943
angles: 90.00 90.00 90.00
Last column: nearest neighbours and their distance in Å.
Space group P4/mmm (No. 123)
One atom of each set of equivalent atoms:
1 Co 0.0000 0.0000 0.0000 (multiplicity 1)  8 I 3.73, 4 Sb 3.93
2 Sb 0.5000 0.5000 0.0000 (multiplicity 1)  2 Os 2.50
3 Os 0.5000 0.5000 0.5000 (multiplicity 1)  2 Sb 2.50, 4 I 2.78
4 I 0.0000 0.5000 0.5000 (multiplicity 2)  2 Os 2.78

---

(5)
Entry from the Alexandria database: a geometry-optimized ScCoOs2I structure (GGA-PBE).

Output
- Energy above the lowest structure with this stoichiometry: 0.6898 eV/atom
- Total magnetic moment: 0.06 μB/f.u.
- DOS(E_F): 2.25 states/eV/atom
- Formation energy from raw total energies: 2.3975 eV/atom

abc: 4.6799 4.6799 5.2887
angles: 90.00 90.00 90.00
Last column: nearest neighbours and their distance in Å.
Space group P4/mmm (No. 123)
One atom of each set of equivalent atoms:
1 Sc 0.0000 0.0000 0.0000 (multiplicity 1)  4 Os 2.34
2 Co 0.5000 0.5000 0.5000 (multiplicity 1)  4 I 3.31, 8 Os 3.53
3 Os 0.0000 0.5000 0.0000 (multiplicity 2)  2 Sc 2.34
4 I 0.0000 0.0000 0.5000 (multiplicity 1)  2 Sc 2.64

---

(6)
Entry from the Alexandria database: a geometry-optimized ScCoOs2I structure (GGA-PBE).

Output
- Energy above the lowest structure with this stoichiometry: 0.0000 eV/atom
- Total magnetic moment: 1.81 μB/f.u.
- DOS(E_F): 1.46 states/eV/atom
- Formation energy from raw total energies: 1.7078 eV/atom

abc: 4.8571 4.8571 4.4665
angles: 90.00 90.00 90.00
Last column: nearest neighbours and their distance in Å.
Space group P4/mmm (No. 123)
One atom of each set of equivalent atoms:
1 Sc 0.0000 0.0000 0.0000 (multiplicity 1)  8 Os 3.30, 4 Co 3.43
2 Co 0.5000 0.5000 0.0000 (multiplicity 1)  2 I 2.23
3 Os 0.0000 0.5000 0.5000 (multiplicity 2)  2 I 2.43
4 I 0.5000 0.5000 0.5000 (multiplicity 1)  2 Co 2.23, 4 Os 2.43

---

(7)
Entry from the Alexandria database: a geometry-optimized TaCoOs2I structure (GGA-PBE).

Output
- Total magnetic moment: 0.65 μB/f.u.
- DOS(E_F): 1.63 states/eV/atom
- Formation energy from raw total energies: 1.8733 eV/atom

abc: 4.4661 4.4661 4.7276
angles: 90.00 90.00 90.00
Last column: nearest neighbours and their distance in Å.
Space group P4/mmm (No. 123)
One atom of each set of equivalent atoms:
1 Ta 0.0000 0.0000 0.0000 (multiplicity 1)  4 I 3.16, 8 Os 3.25
2 Co 0.5000 0.5000 0.5000 (multiplicity 1)  4 Os 2.23, 2 I 2.36
3 Os 0.0000 0.5000 0.5000 (multiplicity 2)  2 Co 2.23
4 I 0.5000 0.5000 0.0000 (multiplicity 1)  2 Co 2.36

---

(8)
Entry from the Alexandria database: a geometry-optimized TlCoOsI2 structure (GGA-PBE).

Output
- Total magnetic moment: 2.57 μB/f.u.
- DOS(E_F): 2.38 states/eV/atom
- Formation energy from raw total energies: 1.3059 eV/atom

abc: 5.4093 5.4093 5.3005
angles: 90.00 90.00 90.00
Last column: nearest neighbours and their distance in Å.
Space group P4/mmm (No. 123)
One atom of each set of equivalent atoms:
1 Tl 0.0000 0.0000 0.0000 (multiplicity 1)  2 Os 2.65
2 Co 0.5000 0.5000 0.0000 (multiplicity 1)  8 I 3.79, 4 Tl 3.82
3 Os 0.0000 0.0000 0.5000 (multiplicity 1)  2 Tl 2.65, 4 I 2.70
4 I 0.0000 0.5000 0.5000 (multiplicity 2)  2 Os 2.70

---

(9)
Entry from the Alexandria database: a geometry-optimized ZnCoOsI2 structure (GGA-PBE).

Output
- Total magnetic moment: 0.00 μB/f.u.
- DOS(E_F): 1.12 states/eV/atom
- Formation energy from raw total energies: 1.2391 eV/atom

abc: 5.1361 5.1361 4.5350
angles: 90.00 90.00 90.00
Last column: nearest neighbours and their distance in Å.
Space group P4/mmm (No. 123)
One atom of each set of equivalent atoms:
1 Zn 0.0000 0.0000 0.0000 (multiplicity 1)  8 I 3.43, 4 Os 3.63
2 Co 0.5000 0.5000 0.5000 (multiplicity 1)  2 Os 2.27
3 Os 0.5000 0.5000 0.0000 (multiplicity 1)  2 Co 2.27
4 I 0.0000 0.5000 0.5000 (multiplicity 2)  2 Co 2.57

---

(10)
Entry from the Alexandria database: a geometry-optimized CoP3I structure (GGA-PBE).

Output
- Energy above the lowest structure with this stoichiometry: 0.0000 eV/atom
- Total magnetic moment: 0.00 μB/f.u.
- DOS(E_F): 1.48 states/eV/atom
- Formation energy from raw total energies: 0.6588 eV/atom

abc: 4.4965 4.4965 4.4965
angles: 90.00 90.00 90.00
Last column: nearest neighbours and their distance in Å.
Space group Pm-3m (No. 221)
One atom of each set of equivalent atoms:
1 Co 0.0000 0.0000 0.0000 (multiplicity 1)  6 P 2.25
2 P 0.0000 0.0000 0.5000 (multiplicity 3)  2 Co 2.25
3 I 0.5000 0.5000 0.5000 (multiplicity 1)  12 P 3.18

---

(11)
Entry from the Alexandria database: a geometry-optimized Pm8CoP3I4 structure (GGA-PBE).

Output
- Total magnetic moment: 0.09 μB/f.u.
- DOS(E_F): 0.64 states/eV/atom
- Formation energy from raw total energies: -1.1452 eV/atom

abc: 8.4048 8.4048 22.8879
angles: 90.00 90.00 120.00
Last column: nearest neighbours and their distance in Å.
Space group R-3m (No. 166, hexagonal axes)
One atom of each set of equivalent atoms:
1 Pm 0.0000 0.0000 0.2300 (multiplicity 6)  3 P 2.83
2 Pm 0.0160 0.5080 0.2289 (multiplicity 18)  1 Co 2.71, 2 P 2.87
3 Co 0.0000 0.0000 0.5000 (multiplicity 3)  6 Pm 2.71
4 P 0.0000 0.5000 0.5000 (multiplicity 9)  6 Pm 2.83-2.87
5 I 0.0000 0.0000 0.0000 (multiplicity 3)  6 Pm 3.49
6 I 0.0000 0.5000 0.0000 (multiplicity 9)  6 Pm 3.37-3.39

---

(12)
Entry from the Alexandria database: a geometry-optimized Pm8Co3PI4 structure (GGA-PBE).

Output
- Total magnetic moment: 0.00 μB/f.u.
- DOS(E_F): 0.59 states/eV/atom
- Formation energy from raw total energies: -0.7412 eV/atom

abc: 8.2328 8.2328 23.8567
angles: 90.00 90.00 120.00
Last column: nearest neighbours and their distance in Å.
Space group R-3m (No. 166, hexagonal axes)
One atom of each set of equivalent atoms:
1 Pm 0.0000 0.0000 0.2279 (multiplicity 6)  3 Co 2.79
2 Pm 0.0138 0.5069 0.7727 (multiplicity 18)  2 Co 2.74, 1 P 2.87
3 Co 0.0000 0.5000 0.5000 (multiplicity 9)  6 Pm 2.74-2.79
4 P 0.0000 0.0000 0.5000 (multiplicity 3)  6 Pm 2.87
5 I 0.0000 0.0000 0.0000 (multiplicity 3)  6 Pm 3.40
6 I 0.0000 0.5000 0.0000 (multiplicity 9)  6 Pm 3.46-3.51